Density functional theory data (GGA-PBE) for ReSeBr2N after structural relaxation.

offset from the most stable computed form: 0.0 kJ/mol of atoms

Unit cell a=5.075 b=5.075 c=4.731 alpha=90.00 beta=90.00 gamma=90.00
Space group P4/mmm (No. 123)
Asymmetric unit:
Re 0.000 0.000 0.000 [1 per cell]
Se 0.000 0.000 0.500 [1 per cell]
Br 0.000 0.500 0.000 [2 per cell]
N 0.500 0.500 0.500 [1 per cell]

Density functional theory data (GGA-PBE) for BTe2PdN after structural relaxation.

offset from the most stable computed form: 0.0 kJ/mol of atoms

Unit cell a=5.472 b=5.472 c=2.862 alpha=90.00 beta=90.00 gamma=90.00
Space group P4/mmm (No. 123)
Asymmetric unit:
B 0.000 0.000 0.000 [1 per cell]
Te 0.000 0.500 0.000 [2 per cell]
Pd 0.500 0.500 0.500 [1 per cell]
N 0.000 0.000 0.500 [1 per cell]

Density functional theory data (GGA-PBE) for Mn2TeAu after structural relaxation.

Unit cell a=4.442 b=4.442 c=3.702 alpha=90.00 beta=90.00 gamma=90.00
Space group P4mm (No. 99)
Asymmetric unit:
Mn 0.000 0.500 0.000 [2 per cell]
Te 0.000 0.000 0.498 [1 per cell]
Au 0.500 0.500 0.504 [1 per cell]

Density functional theory data (GGA-PBE) for LaBeCuH6 after structural relaxation.

Unit cell a=4.4056 b=4.4056 c=4.3937 alpha=90.00 beta=90.00 gamma=120.00
Space group P-6m2 (No. 187)
Asymmetric unit:
La 0.0000 0.0000 0.0000 [1 per cell]
Be 0.6667 0.3333 0.5000 [1 per cell]
Cu 0.3333 0.6667 0.5000 [1 per cell]
H 0.5081 0.0163 0.2393 [6 per cell]

Density functional theory data (GGA-PBE) for TcPbCl2 after structural relaxation.

offset from the most stable computed form: 55.0 kJ/mol of atoms

Unit cell a=6.504 b=8.572 c=3.298 alpha=90.00 beta=90.00 gamma=90.00
Space group Cmmm (No. 65)
Asymmetric unit:
Tc 0.000 0.000 0.000 [2 per cell]
Pb 0.000 0.500 0.000 [2 per cell]
Cl 0.250 0.250 0.500 [4 per cell]

Density functional theory data (GGA-PBE) for Rb3Ce3CdS8 after structural relaxation.

Unit cell a=8.2250 b=8.2250 c=23.2357 alpha=90.00 beta=90.00 gamma=120.00
Space group R-3m (No. 166, hexagonal axes)
Asymmetric unit:
Rb 0.0000 0.5000 0.0000 [9 per cell]
Ce 0.0000 0.5000 0.5000 [9 per cell]
Cd 0.0000 0.0000 0.5000 [3 per cell]
S 0.0000 0.0000 0.2314 [6 per cell]
S 0.0053 0.5027 0.7708 [18 per cell]

What did we get for electronic total energy? Answer: -3.837 -5.018 -5.998 -3.815 -4.041 -5.173 eV per atom, in the order shown.
What did we get for ρ? Answer: 6.0 7.5 9.9 4.9 6.8 3.8 g/cm³, in the order shown.
What did we get for M_tot? Answer: 0.0001 0.0000 1.9274 0.0000 0.8918 0.0745 μB/atom, in the order shown.